10
Lattice="4.128 0.000 0.000 0.000 4.128 0.000 0.000 0.000 11.005" Properties=species:S:1:pos:R:3 comment="Dy2HfGe3Ir4 PBE relaxed" volume_a3_per_fu=187.54 crystal_system=tetragonal pbc="T T T"
Dy 2.064 0.000 2.538
Dy 0.000 2.064 8.467
Hf 2.064 2.064 5.502
Ge 0.000 0.000 5.502
Ge 2.064 0.000 9.603
Ge 0.000 2.064 1.402
Ir 2.064 2.064 0.000
Ir 0.000 0.000 0.000
Ir 2.064 0.000 7.152
Ir 0.000 2.064 3.853

12
Lattice="-3.841 -2.602 0.795 -0.223 -2.768 3.801 -4.416 3.950 5.532" Properties=species:S:1:pos:R:3 comment="NbFe9Mo2 PBE relaxed" volume_a3_per_fu=146.54 crystal_system=trigonal pbc="T T T"
Nb 0.000 0.000 0.000
Fe -2.726 -3.549 3.085
Fe -5.754 2.129 7.042
Fe -4.240 -0.710 5.064
Fe -2.798 -1.199 3.301
Fe -4.763 -2.530 3.708
Fe -2.912 -2.615 5.246
Fe -5.682 -0.221 6.826
Fe -5.568 1.195 4.882
Fe -3.717 1.110 6.420
Mo -5.342 -2.973 6.266
Mo -3.137 1.553 3.862

18
Lattice="7.931 0.000 0.000 3.965 6.868 0.000 0.000 0.000 5.409" Properties=species:S:1:pos:R:3 comment="Ta5Zn4 PBE relaxed" volume_a3_per_fu=147.32 crystal_system=hexagonal pbc="T T T"
Zn 0.000 0.000 0.000
Zn 0.000 0.000 2.704
Zn 6.480 2.513 1.352
Zn 2.515 4.356 1.352
Zn 2.901 0.000 1.352
Zn 5.416 4.356 4.057
Zn 1.451 2.513 4.057
Zn 5.030 0.000 4.057
Ta 5.158 4.803 1.352
Ta 1.192 2.065 1.352
Ta 5.546 0.000 1.352
Ta 6.739 2.065 4.057
Ta 2.773 4.803 4.057
Ta 2.384 0.000 4.057
Ta 3.965 2.289 0.000
Ta 7.931 4.579 2.704
Ta 7.931 4.579 0.000
Ta 3.965 2.289 2.704

E_form (computed, eV/atom): -0.83; 0.04; 0.06
Fermi-level density of states (computed, states/eV per cell): 5.37; 11.94; 10.20